Below is crystalline Mn3BiBr at its relaxed geometry, with properties calculated at the PBE level.

Lattice parameters (Å, degrees): 5.0079 5.0079 5.0079 90.00 90.00 90.00
With the nearest neighbours (Å) after each atom.
Fractional positions:
Mn 0.5000 0.0000 0.0000  2 Bi 2.50
Mn 0.0000 0.5000 0.0000  2 Bi 2.50
Mn 0.0000 0.0000 0.5000  2 Bi 2.50
Br 0.5000 0.5000 0.5000  12 Mn 3.54
Bi 0.0000 0.0000 0.0000  6 Mn 2.50

Summary:
SG = No. 221
Total energy = -0.164 hartree per atom
Spin magnetization = 0.2 μB/f.u.
Volume = 25.12 A^3/atom